## LiSiSbAs2 (PBE)

Data for a relaxed LiSiSbAs2 crystal.

Computed properties:
Final energy: -3.7812 eV per atom
V: 111.0 Å³ per cell
DOS at the Fermi energy: 3.14 states/eV/cell
Crystal system: tetragonal
Relative energy among the computed polymorphs: 0 meV/atom

Lattice parameters (Å, degrees): 4.8659 4.6885 4.8659 90.00 90.00 90.00
Closest atoms and distances in Å follow each position.
Element x y z (fractional)
Sb1 0.5000 0.5000 0.5000  8 As 3.38, 4 Li 3.44
As1 0.0000 0.0000 0.5000  2 Si 2.43
As2 0.5000 0.0000 0.0000  2 Si 2.43
Si1 0.0000 0.0000 0.0000  2 Li 2.34, 4 As 2.43
Li1 0.0000 0.5000 0.0000  2 Si 2.34


## LiSiSbAs2 (PBE)

Data for a relaxed LiSiSbAs2 crystal.

Computed properties:
Final energy: -3.3160 eV per atom
V: 136.0 Å³ per cell
DOS at the Fermi energy: 2.18 states/eV/cell
Crystal system: tetragonal
Relative energy among the computed polymorphs: 465 meV/atom

Lattice parameters (Å, degrees): 5.3150 4.8158 5.3150 90.00 90.00 90.00
Closest atoms and distances in Å follow each position.
Element x y z (fractional)
Sb1 0.0000 0.0000 0.0000  2 Li 2.41, 4 As 2.66
As1 0.0000 0.0000 0.5000  2 Sb 2.66
As2 0.5000 0.0000 0.0000  2 Sb 2.66
Si1 0.5000 0.5000 0.5000  8 As 3.59, 4 Li 3.76
Li1 0.0000 0.5000 0.0000  2 Sb 2.41


## Sr2Li4Sb3As (PBE)

Data for a relaxed Sr2Li4Sb3As crystal.

Computed properties:
Final energy: -3.5447 eV per atom
V: 241.6 Å³ per cell
DOS at the Fermi energy: 4.20 states/eV/cell
Crystal system: tetragonal

Lattice parameters (Å, degrees): 4.5004 4.5004 11.9301 90.00 90.00 90.00
Closest atoms and distances in Å follow each position.
Element x y z (fractional)
Sr1 0.5000 0.0000 0.2583  8 Li 3.45-3.82, 6 Sb 3.46-3.66, 2 As 3.66
Sr2 0.0000 0.5000 0.7417  8 Li 3.45-3.82, 6 Sb 3.46-3.66, 2 As 3.66
Li1 0.5000 0.5000 0.0000  4 Sb 2.84
Li2 0.0000 0.0000 0.0000  4 Sb 2.84
Li3 0.5000 0.0000 0.6303  3 Sb 2.68-2.73, 2 As 2.73
Li4 0.0000 0.5000 0.3697  3 Sb 2.68-2.73, 2 As 2.73
Sb1 0.0000 0.0000 0.5000  4 Li 2.73
Sb2 0.5000 0.0000 0.8551  5 Li 2.68-2.84
Sb3 0.0000 0.5000 0.1449  5 Li 2.68-2.84
As1 0.5000 0.5000 0.5000  4 Li 2.73